Record 1
DFT (PBE) results for an optimized crystal structure of YMgPd2.

```
YMgPd2
1.0
-1.719 -4.015 -0.767
0.001 -0.832 4.356
-9.035 0.952 2.441
Y Mg Pd
2 2 4
Direct
0.750 0.250 0.500 Y
0.000 0.000 0.000 Y
0.500 0.500 0.000 Mg
0.250 0.750 0.500 Mg
0.375 0.421 0.750 Pd
0.875 0.829 0.750 Pd
0.171 0.625 0.250 Pd
0.579 0.125 0.250 Pd
```

Summary:
Volume (Å³/atom): 21.801
Symmetry: No. 122
DOS at the Fermi energy (states/eV/atom): 0.662
Energy of formation (eV/f.u.): -0.968

Record 2
DFT (PBE) results for an optimized crystal structure of SrReAu3.

```
SrReAu3
1.0
5.716 0.000 0.000
0.000 5.716 0.000
0.000 0.000 5.716
Au Re Sr
3 1 1
Direct
0.500 0.000 0.000 Au
0.000 0.500 0.000 Au
0.000 0.000 0.500 Au
0.500 0.500 0.500 Re
0.000 0.000 0.000 Sr
```

Summary:
Polymorph energy (0 for the lowest one) (meV/atom): 1355
Volume (Å³/atom): 37.348
Symmetry: No. 221
DOS at the Fermi energy (states/eV/atom): 0.126
Energy of formation (eV/f.u.): 8.352

Record 3
DFT (PBE) results for an optimized crystal structure of LiLaAlZn2.

```
LiLaAlZn2
1.0
4.434 0.000 0.000
0.000 4.434 0.000
-2.217 -2.217 5.208
Zn Al La Li
2 1 1 1
Direct
0.380 0.380 0.761 Zn
0.620 0.620 0.239 Zn
0.250 0.750 0.500 Al
0.000 0.000 0.000 La
0.750 0.250 0.500 Li
```

Summary:
Volume (Å³/atom): 20.478
Symmetry: No. 119
DOS at the Fermi energy (states/eV/atom): 0.690
Energy of formation (eV/f.u.): -1.523

Record 4
DFT (PBE) results for an optimized crystal structure of Hf2ReNi2.

```
Hf2ReNi2
1.0
-4.868 4.338 1.250
-4.512 -4.612 -1.563
-0.083 -1.079 3.421
Ni Re Hf
4 2 4
Direct
0.123 0.377 0.000 Ni
0.877 0.623 0.000 Ni
0.623 0.123 0.000 Ni
0.377 0.877 0.000 Ni
0.500 0.500 0.000 Re
0.000 0.000 0.000 Re
0.181 0.681 0.500 Hf
0.681 0.819 0.500 Hf
0.319 0.181 0.500 Hf
0.819 0.319 0.500 Hf
```

Summary:
Volume (Å³/atom): 15.816
Symmetry: No. 127
DOS at the Fermi energy (states/eV/atom): 1.168
Energy of formation (eV/f.u.): -1.372